Entry from Alexandria via LeMat-Bulk: a relaxed TiCr3Ag3O8 crystal (PBE+U).

```
TiCr3Ag3O8
1.0
5.2307 -3.0206 0.0000
5.2307 3.0206 0.0000
-3.5026 0.0000 5.9233
Ti Cr Ag O
1 3 3 8
Cartesian
0.0000 0.0000 0.0000
2.6154 1.5103 0.0000
2.6154 -1.5103 0.0000
5.2307 0.0000 0.0000
-1.7513 0.0000 2.9616
0.8641 1.5103 2.9616
0.8641 -1.5103 2.9616
1.7006 0.0000 1.0270
4.3807 1.5473 1.0279
2.5782 1.5473 4.8954
-0.0157 0.0000 4.8970
6.9746 0.0000 1.0263
4.3807 -1.5473 1.0279
2.5782 -1.5473 4.8954
5.2583 0.0000 4.8963
```

Results
* V: 12.5 Å³/atom
* symmetry: C2/m (12)
* E_tot: -101.816 eV/cell